Arrangement i

VASP calculation (PBE) on crystalline PmNd3Er6 at its relaxed geometry.

Values from the calculation:
Calculated volume: 32.88 A^3/atom

CIF file:
```
data_PmNd3Er6
_cell_length_a 9.9020
_cell_length_b 9.9020
_cell_length_c 11.6154
_cell_angle_alpha 90.00
_cell_angle_beta 90.00
_cell_angle_gamma 120.00
_symmetry_space_group_name_H-M 'R 3'
_symmetry_Int_Tables_number 146
_symmetry_space_group_name_Hall 'R 3'
loop_
_atom_site_label
_atom_site_fract_x
_atom_site_fract_y
_atom_site_fract_z
_atom_site_occupancy
Pm1 0.0000 0.0000 0.0000 1
Nd1 0.0000 0.0000 0.2499 1
Nd2 0.0000 0.0000 0.5000 1
Nd3 0.0000 0.0000 0.7506 1
Er1 0.9997 0.3272 0.2511 1
Er2 0.0007 0.6730 0.7511 1
```

Arrangement ii

VASP calculation (PBE) on crystalline PmNd3Er6 at its relaxed geometry.

Values from the calculation:
Calculated volume: 32.46 A^3/atom

CIF file:
```
data_PmNd3Er6
_cell_length_a 13.0420
_cell_length_b 3.5319
_cell_length_c 14.3247
_cell_angle_alpha 90.00
_cell_angle_beta 100.29
_cell_angle_gamma 90.00
_symmetry_space_group_name_H-M 'P 1 21/m 1'
_symmetry_Int_Tables_number 11
loop_
_symmetry_equiv_pos_as_xyz
'x,y,z'
'-x,-y,-z'
'-x,y+1/2,-z'
'x,-y+1/2,z'
loop_
_atom_site_label
_atom_site_fract_x
_atom_site_fract_y
_atom_site_fract_z
_atom_site_occupancy
Pm1 0.0404 0.2500 0.2203 1
Nd1 0.0756 0.2500 0.6003 1
Nd2 0.3716 0.7500 0.9960 1
Nd3 0.4208 0.2500 0.4020 1
Er1 0.1201 0.2500 0.9867 1
Er2 0.1939 0.7500 0.4258 1
Er3 0.2215 0.7500 0.7865 1
Er4 0.2712 0.7500 0.2000 1
Er5 0.3454 0.2500 0.6226 1
Er6 0.4993 0.7500 0.8093 1
```

Stability check: which of them is least stable? arrangement i.

Arrangement i

VASP calculation (PBE) on crystalline Pm7NdEr4 at its relaxed geometry.

Values from the calculation:
Calculated volume: 33.81 A^3/atom

CIF file:
```
data_Pm7NdEr4
_cell_length_a 16.1025
_cell_length_b 5.9822
_cell_length_c 9.4447
_cell_angle_alpha 90.00
_cell_angle_beta 116.89
_cell_angle_gamma 90.00
_symmetry_space_group_name_H-M 'C 1 2/m 1'
_symmetry_Int_Tables_number 12
loop_
_symmetry_equiv_pos_as_xyz
'x,y,z'
'-x,-y,-z'
'-x,y,-z'
'x,-y,z'
'x+1/2,y+1/2,z'
'-x+1/2,-y+1/2,-z'
'-x+1/2,y+1/2,-z'
'x+1/2,-y+1/2,z'
loop_
_atom_site_label
_atom_site_fract_x
_atom_site_fract_y
_atom_site_fract_z
_atom_site_occupancy
Pm1 0.0000 0.0000 0.0000 1
Pm2 0.0866 0.5000 0.4527 1
Pm3 0.2141 0.5000 0.2417 1
Pm4 0.2152 0.5000 0.8854 1
Nd1 0.0000 0.5000 0.0000 1
Er1 0.0705 0.0000 0.6987 1
Er2 0.1691 0.0000 0.3803 1
```

Arrangement ii

VASP calculation (PBE) on crystalline Pm7NdEr4 at its relaxed geometry.

Values from the calculation:
Calculated volume: 33.18 A^3/atom

CIF file:
```
data_Pm7NdEr4
_cell_length_a 6.2939
_cell_length_b 7.2666
_cell_length_c 8.9542
_cell_angle_alpha 89.99
_cell_angle_beta 76.45
_cell_angle_gamma 89.97
_symmetry_space_group_name_H-M 'P -1'
_symmetry_Int_Tables_number 2
loop_
_symmetry_equiv_pos_as_xyz
'x,y,z'
'-x,-y,-z'
loop_
_atom_site_label
_atom_site_fract_x
_atom_site_fract_y
_atom_site_fract_z
_atom_site_occupancy
Pm1 0.0000 0.0000 0.0000 1
Pm2 0.2228 0.5000 0.3349 1
Pm3 0.2802 0.7518 0.6638 1
Pm4 0.4997 0.2465 0.9984 1
Nd1 0.0000 0.5000 0.0000 1
Er1 0.2191 0.0000 0.3356 1
Er2 0.2780 0.2459 0.6655 1
```

Stability check: which of them is least stable? arrangement i.

Arrangement i

VASP calculation (PBE) on crystalline Pm3NdEr at its relaxed geometry.

Values from the calculation:
Calculated volume: 36.54 A^3/atom

CIF file:
```
data_Pm3NdEr
_cell_length_a 3.6485
_cell_length_b 11.7956
_cell_length_c 8.6526
_cell_angle_alpha 90.00
_cell_angle_beta 101.10
_cell_angle_gamma 90.00
_symmetry_space_group_name_H-M 'P 1 21/m 1'
_symmetry_Int_Tables_number 11
loop_
_symmetry_equiv_pos_as_xyz
'x,y,z'
'-x,-y,-z'
'-x,y+1/2,-z'
'x,-y+1/2,z'
loop_
_atom_site_label
_atom_site_fract_x
_atom_site_fract_y
_atom_site_fract_z
_atom_site_occupancy
Pm1 0.1626 0.2500 0.3705 1
Pm2 0.3334 0.0022 0.6972 1
Nd1 0.4242 0.2500 0.0226 1
Er1 0.1894 0.7500 0.3099 1
```

Arrangement ii

VASP calculation (PBE) on crystalline Pm3NdEr at its relaxed geometry.

Values from the calculation:
Calculated volume: 34.11 A^3/atom

CIF file:
```
data_Pm3NdEr
_cell_length_a 6.5919
_cell_length_b 6.6028
_cell_length_c 9.7619
_cell_angle_alpha 70.34
_cell_angle_beta 89.57
_cell_angle_gamma 60.36
_symmetry_space_group_name_H-M 'P -1'
_symmetry_Int_Tables_number 2
loop_
_symmetry_equiv_pos_as_xyz
'x,y,z'
'-x,-y,-z'
loop_
_atom_site_label
_atom_site_fract_x
_atom_site_fract_y
_atom_site_fract_z
_atom_site_occupancy
Pm1 0.0612 0.2907 0.1878 1
Pm2 0.1579 0.6905 0.4585 1
Pm3 0.3517 0.1306 0.8128 1
Nd1 0.0000 0.0000 0.0000 1
Nd2 0.5000 0.0000 0.5000 1
Er1 0.4834 0.4548 0.1843 1
```

Stability check: which of them is least stable? arrangement i.

Arrangement i

VASP calculation (PBE) on crystalline Pm6NdEr12 at its relaxed geometry.

Values from the calculation:
Calculated volume: 32.24 A^3/atom

CIF file:
```
data_Pm6NdEr12
_cell_length_a 11.0503
_cell_length_b 11.0503
_cell_length_c 17.3793
_cell_angle_alpha 90.00
_cell_angle_beta 90.00
_cell_angle_gamma 120.00
_symmetry_space_group_name_H-M 'R -3 m'
_symmetry_Int_Tables_number 166
_symmetry_space_group_name_Hall '-R 3 2"'
loop_
_atom_site_label
_atom_site_fract_x
_atom_site_fract_y
_atom_site_fract_z
_atom_site_occupancy
Pm1 0.0697 0.5349 0.2654 1
Nd1 0.0000 0.0000 0.5000 1
Er1 0.1043 0.5522 0.9147 1
Er2 0.1063 0.2127 0.9091 1
```

Arrangement ii

VASP calculation (PBE) on crystalline Pm6NdEr12 at its relaxed geometry.

Values from the calculation:
Calculated volume: 33.27 A^3/atom

CIF file:
```
data_Pm6NdEr12
_cell_length_a 13.1928
_cell_length_b 13.1928
_cell_length_c 12.5797
_cell_angle_alpha 90.00
_cell_angle_beta 90.00
_cell_angle_gamma 120.00
_symmetry_space_group_name_H-M 'R -3 m'
_symmetry_Int_Tables_number 166
_symmetry_space_group_name_Hall '-R 3 2"'
loop_
_atom_site_label
_atom_site_fract_x
_atom_site_fract_y
_atom_site_fract_z
_atom_site_occupancy
Pm1 0.0362 0.5181 0.1179 1
Nd1 0.0000 0.0000 0.5000 1
Er1 0.0000 0.2566 0.0000 1
Er2 0.0914 0.1828 0.7639 1
```

Stability check: which of them is least stable? arrangement ii.